14
Lattice="-2.194 1.665 -3.234 -3.331 -3.798 -2.485 -10.763 3.390 6.257" Properties=species:S:1:pos:R:3 comment="Tm3Si3Au (PBE-GGA, relaxed)" raw_formation_energy_ev_per_atom=-0.798 total_energy_ev_per_atom=-5.5069 pbc="T T T"
Si -7.298 -0.755 -3.807
Si -8.991 2.012 4.345
Tm -8.961 1.777 1.414
Si -13.047 0.088 3.317
Si -10.116 0.645 -1.174
Tm -3.806 0.189 -0.111
Au -10.109 -0.969 0.780
Tm -11.784 2.702 3.806
Si -6.172 0.611 1.712
Au -6.180 2.226 -0.242
Tm -12.483 1.068 0.649
Tm -7.328 -0.520 -0.876
Si -3.242 1.168 -2.779
Tm -4.505 -1.445 -3.267

16
Lattice="-1.375 -6.079 -3.867 4.330 -3.844 4.503 -6.993 3.584 3.809" Properties=species:S:1:pos:R:3 comment="Tm5Si2Au (PBE-GGA, relaxed)" raw_formation_energy_ev_per_atom=-0.694 total_energy_ev_per_atom=-5.2539 pbc="T T T"
Tm 1.477 -4.962 0.318
Tm -1.283 -3.049 0.684
Au -1.280 -5.650 2.382
Tm 1.097 -4.021 3.540
Si 1.464 -2.197 1.223
Tm -5.124 1.322 2.135
Si 1.491 -7.726 -0.587
Tm 0.000 0.000 0.000
Au -2.758 -0.689 2.064
Tm 1.086 -7.661 2.310
Tm -1.294 -6.689 -0.546
Si -0.324 -4.259 -1.855
Tm -2.745 0.350 4.991
Tm -5.135 -2.318 0.905
Tm -2.756 -3.290 3.761
Si 3.279 -5.664 2.492

7
Lattice="4.383 0.000 0.000 0.000 4.176 -1.240 0.000 -0.154 7.130" Properties=species:S:1:pos:R:3 comment="TmSi2Au4 (PBE-GGA, relaxed)" raw_formation_energy_ev_per_atom=-0.414 total_energy_ev_per_atom=-4.4747 pbc="T T T"
Si 2.191 1.606 5.406
Au 0.000 2.745 1.592
Si 2.191 2.416 0.483
Au 0.000 1.277 4.298
Au 2.191 3.360 3.663
Au 2.191 0.661 2.227
Tm 0.000 0.000 0.000